! GGA-PBE LiSmNi, optimized geometry; values from VASP
&SYSTEM
  ibrav = 0, nat = 6, ntyp = 3
/
ATOMIC_SPECIES
Li 6.94 Li.upf
Sm 150.36 Sm.upf
Ni 58.69 Ni.upf
ATOMIC_POSITIONS crystal
Li 0.207 0.793 0.750
Li 0.793 0.207 0.250
Sm 0.408 0.592 0.750
Sm 0.592 0.408 0.250
Ni 0.041 0.959 0.750
Ni 0.959 0.041 0.250
CELL_PARAMETERS angstrom
1.890 -8.615 0.000
1.890 8.615 0.000
0.000 0.000 3.975
! **Offset from the most stable computed form**: 0 meV per atom
! **Total DFT energy (no corrections)**: -4.34 eV/atom
! **Space-group type**: No. 63